Crystalline Cr2CuPbO8 at its relaxed geometry. Source: the Alexandria database, functional GGA+U.

a b c (Å): 4.9808 4.9808 21.8652
angles (deg): 90.00 90.00 120.00
Space group R-3 (No. 148, hexagonal axes)
Inequivalent atoms, fractional coordinates:
Cr: 0.0000 0.0000 0.2451
Cu: 0.0000 0.0000 0.5000
Pb: 0.0000 0.0000 0.0000
O: 0.0000 0.0000 0.3218
O: 0.0081 0.3522 0.8890

Volume = 13.049 A^3/atom
DOS(E_F) = 4.859 states/eV/f.u.
VASP energy = -224.200 eV for the cell shown